Density functional theory data (PBE-GGA) for a relaxed LaNdZnIr crystal.

Values from the calculation:
E_form: -0.47 eV per atom
calculated density: 9.34 g cm⁻³
density of states at the Fermi level: 0.461 states/eV per atom

Cell: 7.271 7.271 7.271 Å, 90.00 90.00 90.00°
Fractional coordinates of all 16 atoms:
La  0.000  0.000  0.000
La  0.000  0.500  0.500
La  0.500  0.000  0.500
La  0.500  0.500  0.000
Nd  0.000  0.000  0.500
Nd  0.000  0.500  0.000
Nd  0.500  0.000  0.000
Nd  0.500  0.500  0.500
Zn  0.250  0.250  0.750
Zn  0.250  0.750  0.250
Zn  0.750  0.250  0.250
Zn  0.750  0.750  0.750
Ir  0.250  0.250  0.250
Ir  0.250  0.750  0.750
Ir  0.750  0.250  0.750
Ir  0.750  0.750  0.250